Compound: LiTl3
Source: the Alexandria database
Functional: PBE-GGA
Structure: optimized geometry

Calculated values
E_form: -0.047 eV per atom
density of states at the Fermi level: 1.7 states/eV per cell

Unit cell a=3.521 b=4.759 c=6.462 alpha=90.00 beta=90.00 gamma=90.00
Space group Pmmm (No. 47)
Symmetry-distinct sites (fractional):
1 Li 0.000 0.000 0.000 (multiplicity 1)
2 Tl 0.000 0.000 0.500 (multiplicity 1)
3 Tl 0.500 0.500 0.242 (multiplicity 2)



Compound: LiTl3
Source: the Alexandria database
Functional: PBE-GGA
Structure: optimized geometry

Calculated values
E_form: -0.060 eV per atom
density of states at the Fermi level: 2.5 states/eV per cell

Unit cell a=4.759 b=4.759 c=4.759 alpha=90.00 beta=90.00 gamma=90.00
Space group Pm-3m (No. 221)
Symmetry-distinct sites (fractional):
1 Li 0.000 0.000 0.000 (multiplicity 1)
2 Tl 0.000 0.500 0.500 (multiplicity 3)



Compound: Li7Tl5
Source: the Alexandria database
Functional: PBE-GGA
Structure: optimized geometry

Calculated values
E_form: -0.195 eV per atom
density of states at the Fermi level: 8.0 states/eV per cell

Unit cell a=8.330 b=4.797 c=12.981 alpha=90.00 beta=102.96 gamma=90.00
Space group C2/m (No. 12)
Symmetry-distinct sites (fractional):
1 Li 0.000 0.000 0.000 (multiplicity 2)
2 Li 0.075 0.500 0.717 (multiplicity 4)
3 Li 0.194 0.000 0.580 (multiplicity 4)
4 Li 0.224 0.500 0.174 (multiplicity 4)
5 Tl 0.000 0.500 0.500 (multiplicity 2)
6 Tl 0.104 0.000 0.318 (multiplicity 4)
7 Tl 0.144 0.500 0.935 (multiplicity 4)



Compound: Li3Tl
Source: the Alexandria database
Functional: PBE-GGA
Structure: optimized geometry

Calculated values
E_form: -0.053 eV per atom
density of states at the Fermi level: 1.5 states/eV per cell

Unit cell a=3.3489 b=3.3489 c=9.1363 alpha=90.00 beta=90.00 gamma=120.00
Space group P-6m2 (No. 187)
Symmetry-distinct sites (fractional):
1 Li 0.0000 0.0000 0.0000 (multiplicity 1)
2 Li 0.3333 0.6667 0.2564 (multiplicity 2)
3 Tl 0.0000 0.0000 0.5000 (multiplicity 1)